1.
The following is a PBE-GGA calculation of crystalline GePd3Rh at its relaxed geometry, from Alexandria.

Properties
* ΔE_f: 1.095 eV per atom
* space-group type: Pm-3m
* spin magnetization: 2.21 μB per cell
* mass density: 7.38 g/cm3

The structure in CIF format:
```
data_GePd3Rh
_chemical_formula_sum 'Ge1 Pd3 Rh1'
_symmetry_space_group_name_H-M 'P 1'
_symmetry_Int_Tables_number 1
_cell_length_a 4.8114
_cell_length_b 4.8114
_cell_length_c 4.8114
_cell_angle_alpha 90.00
_cell_angle_beta 90.00
_cell_angle_gamma 90.00
loop_
_symmetry_equiv_pos_as_xyz
'x,y,z'
loop_
_atom_site_label
_atom_site_type_symbol
_atom_site_fract_x
_atom_site_fract_y
_atom_site_fract_z
Ge1 Ge 0.5000 0.5000 0.5000
Rh1 Rh 0.0000 0.0000 0.0000
Pd1 Pd 0.0000 0.5000 0.0000
Pd2 Pd 0.0000 0.0000 0.5000
Pd3 Pd 0.5000 0.0000 0.0000
```

2.
The following is a PBE-GGA calculation of crystalline Ge2PdRh2 at its relaxed geometry, from Alexandria.

Properties
* ΔE_f: -0.460 eV per atom
* space-group type: P4/mbm
* spin magnetization: 0.00 μB per cell
* mass density: 10.22 g/cm3

The structure in CIF format:
```
data_Ge2PdRh2
_chemical_formula_sum 'Ge4 Pd2 Rh4'
_symmetry_space_group_name_H-M 'P 1'
_symmetry_Int_Tables_number 1
_cell_length_a 7.1601
_cell_length_b 7.1601
_cell_length_c 2.9004
_cell_angle_alpha 90.00
_cell_angle_beta 90.00
_cell_angle_gamma 90.00
loop_
_symmetry_equiv_pos_as_xyz
'x,y,z'
loop_
_atom_site_label
_atom_site_type_symbol
_atom_site_fract_x
_atom_site_fract_y
_atom_site_fract_z
Ge1 Ge 0.3449 0.8449 0.0000
Ge2 Ge 0.8449 0.6551 0.0000
Ge3 Ge 0.6551 0.1551 0.0000
Ge4 Ge 0.1551 0.3449 0.0000
Rh1 Rh 0.1426 0.6426 0.5000
Rh2 Rh 0.6426 0.8574 0.5000
Rh3 Rh 0.8574 0.3574 0.5000
Rh4 Rh 0.3574 0.1426 0.5000
Pd1 Pd 0.0000 0.0000 0.0000
Pd2 Pd 0.5000 0.5000 0.0000
```

3.
The following is a PBE-GGA calculation of crystalline Ge4PdRh7 at its relaxed geometry, from Alexandria.

Properties
* ΔE_f: -0.328 eV per atom
* space-group type: P-1
* spin magnetization: 0.00 μB per cell
* mass density: 10.41 g/cm3

The structure in CIF format:
```
data_Ge4PdRh7
_chemical_formula_sum 'Ge4 Pd1 Rh7'
_symmetry_space_group_name_H-M 'P 1'
_symmetry_Int_Tables_number 1
_cell_length_a 5.3001
_cell_length_b 7.1406
_cell_length_c 7.1722
_cell_angle_alpha 79.56
_cell_angle_beta 41.99
_cell_angle_gamma 79.64
loop_
_symmetry_equiv_pos_as_xyz
'x,y,z'
loop_
_atom_site_label
_atom_site_type_symbol
_atom_site_fract_x
_atom_site_fract_y
_atom_site_fract_z
Ge1 Ge 0.3630 0.2888 0.7673
Ge2 Ge 0.6370 0.7112 0.2327
Ge3 Ge 0.7963 0.7167 0.7168
Ge4 Ge 0.2037 0.2833 0.2832
Pd1 Pd 0.0000 0.0000 0.0000
Rh1 Rh 0.7524 0.0044 0.4921
Rh2 Rh 0.2476 0.9956 0.5079
Rh3 Rh 0.1643 0.6288 0.2295
Rh4 Rh 0.8357 0.3712 0.7705
Rh5 Rh 0.3053 0.6301 0.7388
Rh6 Rh 0.5000 0.0000 0.0000
Rh7 Rh 0.6947 0.3699 0.2612
```